No. 1
Sr2Li3CdSn4 after structural relaxation. Source: the Alexandria database, functional PBE.

It has space group P-4m2 (No. 115), with a = 4.634 Å, b = 4.634 Å, c = 12.010 Å, α = 90.00°, β = 90.00° and γ = 90.00°. Symmetry generates all atoms from Sr at (0.000, 0.500, 0.248), Li at (0.000, 0.500, 0.866), Li at (0.500, 0.500, 0.500), Cd at (0.000, 0.000, 0.500), Sn at (0.000, 0.000, 0.000), Sn at (0.000, 0.500, 0.642) and Sn at (0.500, 0.500, 0.000).

Its crystal system is tetragonal. Its formation energy is -0.4438 eV per atom.

***

No. 2
Li2Ag7Sn3 after structural relaxation. Source: the Alexandria database, functional PBE.

It has space group P2/m (No. 10), with a = 4.681 Å, b = 4.764 Å, c = 11.406 Å, α = 90.00°, β = 101.77° and γ = 90.00°. Symmetry generates all atoms from Li at (0.152, 0.000, 0.303), Ag at (0.082, 0.500, 0.158), Ag at (0.282, 0.000, 0.565), Ag at (0.421, 0.000, 0.844), Ag at (0.500, 0.500, 0.000), Sn at (0.000, 0.000, 0.000) and Sn at (0.341, 0.500, 0.689).

Its crystal system is monoclinic. The polymorph energy (0 for the lowest one) is 0.0000 eV/atom. Its formation energy is -0.0364 eV per atom.

***

No. 3
Rb2MgPb7 after structural relaxation. Source: the Alexandria database, functional PBE.

It has space group P-4m2 (No. 115), with a = 5.178 Å, b = 5.178 Å, c = 13.965 Å, α = 90.00°, β = 90.00° and γ = 90.00°. Symmetry generates all atoms from Rb at (0.000, 0.500, 0.245), Mg at (0.500, 0.500, 0.000), Pb at (0.000, 0.000, 0.000), Pb at (0.000, 0.000, 0.500), Pb at (0.000, 0.500, 0.638), Pb at (0.000, 0.500, 0.870) and Pb at (0.500, 0.500, 0.500).

Its crystal system is tetragonal. Its formation energy is -0.0889 eV per atom.

***

No. 4
SrNdCuGe after structural relaxation. Source: the Alexandria database, functional PBE.

It has space group F-43m (No. 216), with a = 7.430 Å, b = 7.430 Å, c = 7.430 Å, α = 90.00°, β = 90.00° and γ = 90.00°. Symmetry generates all atoms from Sr at (0.000, 0.000, 0.000), Nd at (0.000, 0.000, 0.500), Cu at (0.250, 0.250, 0.250) and Ge at (0.250, 0.250, 0.750).

Its crystal system is cubic. Its formation energy is -0.3565 eV per atom.

***

No. 5
SrVAs2 after structural relaxation. Source: the Alexandria database, functional PBE.

It has space group Fm-3m (No. 225), with a = 6.969 Å, b = 6.969 Å, c = 6.969 Å, α = 90.00°, β = 90.00° and γ = 90.00°. Symmetry generates all atoms from Sr at (0.000, 0.000, 0.000), V at (0.000, 0.000, 0.500) and As at (0.250, 0.250, 0.250).

Its crystal system is cubic. The polymorph energy (0 for the lowest one) is 0.2882 eV/atom. Its formation energy is -0.2396 eV per atom.

***

No. 6
BTeAs3 after structural relaxation. Source: the Alexandria database, functional PBE.

It has space group Pm-3m (No. 221), with a = 4.533 Å, b = 4.533 Å, c = 4.533 Å, α = 90.00°, β = 90.00° and γ = 90.00°. Symmetry generates all atoms from B at (0.000, 0.000, 0.000), Te at (0.500, 0.500, 0.500) and As at (0.000, 0.000, 0.500).

Its crystal system is cubic. The polymorph energy (0 for the lowest one) is 0.0000 eV/atom. The value obtained for the energy relative to the elements, uncorrected is 70 kJ per mole of atoms.

***

No. 7
Sc2BiH after structural relaxation. Source: the Alexandria database, functional PBE.

It has space group I-42d (No. 122), with a = 6.750 Å, b = 6.750 Å, c = 6.704 Å, α = 90.00°, β = 90.00° and γ = 90.00°. Symmetry generates all atoms from Sc at (0.149, 0.250, 0.125), Bi at (0.000, 0.000, 0.500) and H at (0.000, 0.000, 0.000).

Its crystal system is tetragonal. The polymorph energy (0 for the lowest one) is 0.0844 eV/atom.

***

No. 8
CaReSiTe2 after structural relaxation. Source: the Alexandria database, functional PBE.

It has space group P4/mmm (No. 123), with a = 5.557 Å, b = 5.557 Å, c = 4.553 Å, α = 90.00°, β = 90.00° and γ = 90.00°. Symmetry generates all atoms from Ca at (0.000, 0.000, 0.000), Re at (0.500, 0.500, 0.500), Si at (0.500, 0.500, 0.000) and Te at (0.000, 0.500, 0.500).

Its crystal system is tetragonal. The value obtained for the energy relative to the elements, uncorrected is 13 kJ per mole of atoms.

***

No. 9
Fe2SnMoN after structural relaxation. Source: the Alexandria database, functional PBE.

It has space group P4/mmm (No. 123), with a = 3.957 Å, b = 3.957 Å, c = 4.118 Å, α = 90.00°, β = 90.00° and γ = 90.00°. Symmetry generates all atoms from Fe at (0.000, 0.500, 0.000), Sn at (0.000, 0.000, 0.500), Mo at (0.500, 0.500, 0.500) and N at (0.500, 0.500, 0.000).

Its crystal system is tetragonal. The value obtained for the energy relative to the elements, uncorrected is -5 kJ per mole of atoms.

***

No. 10
La6Nd5Tm after structural relaxation. Source: the Alexandria database, functional PBE.

It has space group P-1 (No. 2), with a = 6.374 Å, b = 7.415 Å, c = 9.787 Å, α = 67.74°, β = 89.34° and γ = 89.92°. Symmetry generates all atoms from La at (0.000, 0.247, 0.000), La at (0.335, 0.083, 0.331), La at (0.335, 0.586, 0.331), Nd at (0.165, 0.667, 0.667), Nd at (0.168, 0.166, 0.668), Nd at (0.500, 0.500, 0.000) and Tm at (0.500, 0.000, 0.000).

Its crystal system is triclinic. The polymorph energy (0 for the lowest one) is 0.0050 eV/atom. Its formation energy is 0.0157 eV per atom.

***

No. 11
Mg2BeAs after structural relaxation. Source: the Alexandria database, functional PBE.

It has space group R-3m (No. 166, hexagonal axes), with a = 3.1443 Å, b = 3.1443 Å, c = 24.9541 Å, α = 90.00°, β = 90.00° and γ = 120.00°. Symmetry generates all atoms from Mg at (0.0000, 0.0000, 0.2425), Be at (0.0000, 0.0000, 0.5000) and As at (0.0000, 0.0000, 0.0000).

Its crystal system is trigonal. The polymorph energy (0 for the lowest one) is 0.3646 eV/atom. Its formation energy is 0.1876 eV per atom.

***

No. 12
NpH2I5 after structural relaxation. Source: the Alexandria database, functional PBE.

It has space group C2/c (No. 15), with a = 3.950 Å, b = 16.913 Å, c = 15.962 Å, α = 90.00°, β = 94.63° and γ = 90.00°. Symmetry generates all atoms from Np at (0.000, 0.015, 0.250), H at (0.021, 0.498, 0.804), I at (0.000, 0.337, 0.750), I at (0.040, 0.112, 0.875) and I at (0.225, 0.127, 0.414).

Its crystal system is monoclinic. As for the total energy: -28.53 eV/f.u.

***

No. 13
Er6Sc3Pb after structural relaxation. Source: the Alexandria database, functional PBE.

It has space group Cmc2_1 (No. 36), with a = 10.438 Å, b = 18.123 Å, c = 6.058 Å, α = 90.00°, β = 90.00° and γ = 90.00°. Symmetry generates all atoms from Er at (0.000, 0.058, 0.000), Er at (0.000, 0.286, 0.253), Er at (0.164, 0.460, 0.353), Er at (0.249, 0.297, 0.553), Sc at (0.000, 0.388, 0.811), Sc at (0.162, 0.115, 0.478) and Pb at (0.000, 0.220, 0.757).

Its crystal system is orthorhombic. Its formation energy is 0.0178 eV per atom.

***

No. 14
AcSm2 after structural relaxation. Source: the Alexandria database, functional PBE.

It has space group Fmmm (No. 69), with a = 6.149 Å, b = 6.166 Å, c = 11.788 Å, α = 90.00°, β = 90.00° and γ = 90.00°. Symmetry generates all atoms from Ac at (0.000, 0.000, 0.000) and Sm at (0.000, 0.000, 0.320).

Its crystal system is orthorhombic. The polymorph energy (0 for the lowest one) is 0.0700 eV/atom. Its formation energy is 0.1106 eV per atom.

***

No. 15
LaTb3PmSm after structural relaxation. Source: the Alexandria database, functional PBE.

It has space group C2/m (No. 12), with a = 20.192 Å, b = 5.685 Å, c = 7.061 Å, α = 90.00°, β = 90.32° and γ = 90.00°. Symmetry generates all atoms from La at (0.146, 0.000, 0.038), Tb at (0.023, 0.000, 0.746), Tb at (0.163, 0.500, 0.742), Tb at (0.221, 0.500, 0.248), Pm at (0.147, 0.000, 0.465) and Sm at (0.055, 0.500, 0.259).

Its crystal system is monoclinic. Its formation energy is 0.1833 eV per atom.

***

No. 16
Al2TeH6 after structural relaxation. Source: the Alexandria database, functional PBE.

It has space group Fm-3m (No. 225), with a = 7.507 Å, b = 7.507 Å, c = 7.507 Å, α = 90.00°, β = 90.00° and γ = 90.00°. Symmetry generates all atoms from Al at (0.250, 0.250, 0.250), Te at (0.000, 0.000, 0.000) and H at (0.000, 0.000, 0.258).

Its crystal system is cubic. As for the total energy: -22.88 eV/f.u.

***

No. 17
Ac2HoIn3Te6 after structural relaxation. Source: the Alexandria database, functional PBE.

It has space group C2/m (No. 12), with a = 8.082 Å, b = 13.966 Å, c = 8.535 Å, α = 90.00°, β = 108.33° and γ = 90.00°. Symmetry generates all atoms from Ac at (0.000, 0.166, 0.000), Ho at (0.000, 0.500, 0.000), In at (0.000, 0.000, 0.500), In at (0.000, 0.331, 0.500), Te at (0.232, 0.343, 0.226) and Te at (0.236, 0.500, 0.769).

Its crystal system is monoclinic. The value obtained for the energy relative to the elements, uncorrected is -98 kJ per mole of atoms.

***

No. 18
Ca2Re2C3 after structural relaxation. Source: the Alexandria database, functional PBE.

It has space group P2_1/c (No. 14), with a = 5.706 Å, b = 6.421 Å, c = 6.229 Å, α = 90.00°, β = 114.13° and γ = 90.00°. Symmetry generates all atoms from Ca at (0.188, 0.134, 0.423), Re at (0.336, 0.616, 0.559), C at (0.000, 0.000, 0.000) and C at (0.429, 0.632, 0.268).

Its crystal system is monoclinic. Its formation energy is -0.0501 eV per atom.

***

No. 19
BeCd2Ru after structural relaxation. Source: the Alexandria database, functional PBE.

It has space group P4/mmm (No. 123), with a = 3.303 Å, b = 3.303 Å, c = 5.873 Å, α = 90.00°, β = 90.00° and γ = 90.00°. Symmetry generates all atoms from Be at (0.000, 0.000, 0.000), Cd at (0.500, 0.500, 0.241) and Ru at (0.000, 0.000, 0.500).

Its crystal system is tetragonal. Its formation energy is 0.4688 eV per atom.

***

No. 20
K2Na21Cd6 after structural relaxation. Source: the Alexandria database, functional PBE.

It has space group Fm-3m (No. 225), with a = 16.123 Å, b = 16.123 Å, c = 16.123 Å, α = 90.00°, β = 90.00° and γ = 90.00°. Symmetry generates all atoms from K at (0.250, 0.250, 0.250), Na at (0.000, 0.000, 0.000), Na at (0.000, 0.172, 0.172), Na at (0.112, 0.112, 0.388) and Cd at (0.000, 0.000, 0.265).

Its crystal system is cubic. Its formation energy is -0.0143 eV per atom.

***

No. 21
Nd6HgTe5 after structural relaxation. Source: the Alexandria database, functional PBE.

It has space group C2/m (No. 12), with a = 7.808 Å, b = 13.473 Å, c = 7.772 Å, α = 90.00°, β = 109.46° and γ = 90.00°. Symmetry generates all atoms from Nd at (0.243, 0.000, 0.253), Nd at (0.244, 0.163, 0.744), Hg at (0.000, 0.000, 0.500), Te at (0.000, 0.171, 0.000), Te at (0.000, 0.335, 0.500) and Te at (0.000, 0.500, 0.000).

Its crystal system is monoclinic. The value obtained for the energy relative to the elements, uncorrected is -124 kJ per mole of atoms.

***

No. 22
La6Bi5H after structural relaxation. Source: the Alexandria database, functional PBE.

It has space group C2/m (No. 12), with a = 8.015 Å, b = 13.853 Å, c = 8.037 Å, α = 90.00°, β = 109.52° and γ = 90.00°. Symmetry generates all atoms from La at (0.247, 0.165, 0.247), La at (0.248, 0.000, 0.746), Bi at (0.000, 0.170, 0.500), Bi at (0.000, 0.334, 0.000), Bi at (0.000, 0.500, 0.500) and H at (0.000, 0.000, 0.000).

Its crystal system is monoclinic. As for the total energy: -62.55 eV/f.u.